AgW3 | GGA-PBE | relaxed

Geometry as POSCAR:
```
AgW3
1.0
2.8807 -4.9895 0.0000
2.8807 4.9895 0.0000
0.0000 0.0000 4.6041
W Ag
6 2
direct
0.8437 0.1563 0.2500
0.8437 0.6875 0.2500
0.6875 0.8437 0.7500
0.3125 0.1563 0.2500
0.1563 0.8437 0.7500
0.1563 0.3125 0.7500
0.3333 0.6667 0.2500
0.6667 0.3333 0.7500
```

Space-group type: P6_3/mmc (194)
Energy of formation (eV/atom): 0.510